Entry 1:
CeHfReRh | PBE | optimized geometry Values from VASP.

Structure (Quantum ESPRESSO input):
```
&SYSTEM
  ibrav = 0, nat = 4, ntyp = 4
/
ATOMIC_SPECIES
Ce 140.12 Ce.upf
Hf 178.49 Hf.upf
Re 186.21 Re.upf
Rh 102.91 Rh.upf
ATOMIC_POSITIONS crystal
Ce 0.000 0.000 0.000
Hf 0.500 0.500 0.500
Re 0.750 0.750 0.750
Rh 0.250 0.250 0.250
CELL_PARAMETERS angstrom
0.000 3.370 3.370
3.370 0.000 3.370
3.370 3.370 0.000
```

Results
crystal system	cubic
ρ	13.2	g cm⁻³
energy of formation	-1.39	eV per formula unit
symmetry	No. 216


Entry 2:
CeHfReTc | PBE | optimized geometry Values from VASP.

Structure (Quantum ESPRESSO input):
```
&SYSTEM
  ibrav = 0, nat = 4, ntyp = 4
/
ATOMIC_SPECIES
Ce 140.12 Ce.upf
Hf 178.49 Hf.upf
Re 186.21 Re.upf
Tc 98.00 Tc.upf
ATOMIC_POSITIONS crystal
Ce 0.000 0.000 0.000
Hf 0.500 0.500 0.500
Re 0.750 0.750 0.750
Tc 0.250 0.250 0.250
CELL_PARAMETERS angstrom
0.000 3.359 3.359
3.359 0.000 3.359
3.359 3.359 0.000
```

Results
crystal system	cubic
ρ	13.2	g cm⁻³
energy of formation	-0.43	eV per formula unit
symmetry	No. 216


Entry 3:
Ce2HfRh | PBE | optimized geometry Values from VASP.

Structure (Quantum ESPRESSO input):
```
&SYSTEM
  ibrav = 0, nat = 4, ntyp = 3
/
ATOMIC_SPECIES
Ce 140.12 Ce.upf
Hf 178.49 Hf.upf
Rh 102.91 Rh.upf
ATOMIC_POSITIONS crystal
Ce 0.093 0.093 0.093
Ce 0.907 0.907 0.907
Hf 0.000 0.000 0.000
Rh 0.500 0.500 0.500
CELL_PARAMETERS angstrom
1.543 0.891 10.604
-1.543 0.891 10.604
0.000 -1.781 10.604
```

Results
crystal system	trigonal
ρ	10.7	g cm⁻³
energy of formation	0.21	eV per formula unit
symmetry	No. 166


Entry 4:
CeHfRuRh | PBE | optimized geometry Values from VASP.

Structure (Quantum ESPRESSO input):
```
&SYSTEM
  ibrav = 0, nat = 4, ntyp = 4
/
ATOMIC_SPECIES
Ce 140.12 Ce.upf
Hf 178.49 Hf.upf
Ru 101.07 Ru.upf
Rh 102.91 Rh.upf
ATOMIC_POSITIONS crystal
Ce 0.000 0.000 0.000
Hf 0.500 0.500 0.500
Ru 0.250 0.250 0.250
Rh 0.750 0.750 0.750
CELL_PARAMETERS angstrom
0.000 3.362 3.362
3.362 0.000 3.362
3.362 3.362 0.000
```

Results
crystal system	cubic
ρ	11.4	g cm⁻³
energy of formation	-2.14	eV per formula unit
symmetry	No. 216


Entry 5:
Ce2HfSb3Rh4 | PBE | optimized geometry Values from VASP.

Structure (Quantum ESPRESSO input):
```
&SYSTEM
  ibrav = 0, nat = 10, ntyp = 4
/
ATOMIC_SPECIES
Ce 140.12 Ce.upf
Hf 178.49 Hf.upf
Sb 121.76 Sb.upf
Rh 102.91 Rh.upf
ATOMIC_POSITIONS crystal
Ce 0.000 0.500 0.239
Ce 0.500 0.000 0.761
Hf 0.000 0.000 0.500
Sb 0.000 0.500 0.866
Sb 0.500 0.000 0.134
Sb 0.500 0.500 0.500
Rh 0.000 0.000 0.000
Rh 0.000 0.500 0.636
Rh 0.500 0.000 0.364
Rh 0.500 0.500 0.000
CELL_PARAMETERS angstrom
4.349 0.000 0.000
0.000 4.349 0.000
0.000 0.000 11.262
```

Results
crystal system	tetragonal
ρ	9.6	g cm⁻³
symmetry	No. 115
formation energy (no corrections)	-8.2	eV per formula unit


Entry 6:
CeHfSi2Rh5 | PBE | optimized geometry Values from VASP.

Structure (Quantum ESPRESSO input):
```
&SYSTEM
  ibrav = 0, nat = 9, ntyp = 4
/
ATOMIC_SPECIES
Ce 140.12 Ce.upf
Hf 178.49 Hf.upf
Si 28.09 Si.upf
Rh 102.91 Rh.upf
ATOMIC_POSITIONS crystal
Ce 0.000 0.000 0.000
Hf 0.000 0.000 0.500
Si 0.500 0.500 0.221
Si 0.500 0.500 0.779
Rh 0.000 0.500 0.331
Rh 0.000 0.500 0.669
Rh 0.500 0.000 0.331
Rh 0.500 0.000 0.669
Rh 0.500 0.500 0.000
CELL_PARAMETERS angstrom
4.025 0.000 0.000
0.000 4.025 0.000
0.000 0.000 10.587
```

Results
crystal system	tetragonal
ρ	8.6	g cm⁻³
symmetry	No. 123
formation energy (no corrections)	-5.9	eV per formula unit


Entry 7:
CeHfZnRh | PBE | optimized geometry Values from VASP.

Structure (Quantum ESPRESSO input):
```
&SYSTEM
  ibrav = 0, nat = 4, ntyp = 4
/
ATOMIC_SPECIES
Ce 140.12 Ce.upf
Hf 178.49 Hf.upf
Zn 65.41 Zn.upf
Rh 102.91 Rh.upf
ATOMIC_POSITIONS crystal
Ce 0.000 0.000 0.000
Hf 0.500 0.500 0.500
Zn 0.250 0.250 0.250
Rh 0.750 0.750 0.750
CELL_PARAMETERS angstrom
0.000 3.424 3.424
3.424 0.000 3.424
3.424 3.424 0.000
```

Results
crystal system	cubic
ρ	10.1	g cm⁻³
energy of formation	-1.30	eV per formula unit
symmetry	No. 216


Entry 8:
CeHf4Ru5 | PBE | optimized geometry Values from VASP.

Structure (Quantum ESPRESSO input):
```
&SYSTEM
  ibrav = 0, nat = 10, ntyp = 3
/
ATOMIC_SPECIES
Ce 140.12 Ce.upf
Hf 178.49 Hf.upf
Ru 101.07 Ru.upf
ATOMIC_POSITIONS crystal
Ce 0.000 0.000 0.000
Hf 0.000 0.000 0.209
Hf 0.000 0.000 0.403
Hf 0.000 0.000 0.597
Hf 0.000 0.000 0.791
Ru 0.500 0.500 0.119
Ru 0.500 0.500 0.309
Ru 0.500 0.500 0.500
Ru 0.500 0.500 0.691
Ru 0.500 0.500 0.881
CELL_PARAMETERS angstrom
3.240 0.000 0.000
0.000 3.240 0.000
0.000 0.000 16.929
```

Results
crystal system	tetragonal
ρ	12.7	g cm⁻³
energy of formation	-6.90	eV per formula unit
symmetry	No. 123


Entry 9:
CeHfRu4 | PBE | optimized geometry Values from VASP.

Structure (Quantum ESPRESSO input):
```
&SYSTEM
  ibrav = 0, nat = 6, ntyp = 3
/
ATOMIC_SPECIES
Ce 140.12 Ce.upf
Hf 178.49 Hf.upf
Ru 101.07 Ru.upf
ATOMIC_POSITIONS crystal
Ce 0.000 0.000 0.000
Hf 0.750 0.750 0.750
Ru 0.375 0.375 0.375
Ru 0.375 0.375 0.874
Ru 0.375 0.874 0.375
Ru 0.874 0.375 0.375
CELL_PARAMETERS angstrom
0.000 3.739 3.739
3.739 0.000 3.739
3.739 3.739 0.000
```

Results
crystal system	cubic
ρ	11.5	g cm⁻³
energy of formation	-1.43	eV per formula unit
symmetry	No. 216


Entry 10:
CeHfRu | PBE | optimized geometry Values from VASP.

Structure (Quantum ESPRESSO input):
```
&SYSTEM
  ibrav = 0, nat = 3, ntyp = 3
/
ATOMIC_SPECIES
Ce 140.12 Ce.upf
Hf 178.49 Hf.upf
Ru 101.07 Ru.upf
ATOMIC_POSITIONS crystal
Ce 0.000 0.000 0.000
Hf 0.282 0.282 0.000
Ru 0.664 0.664 0.000
CELL_PARAMETERS angstrom
-1.629 1.629 6.127
1.629 -1.629 6.127
1.629 1.629 -6.127
```

Results
crystal system	tetragonal
ρ	10.7	g cm⁻³
energy of formation	-0.78	eV per formula unit
symmetry	No. 107


Entry 11:
Ce2HfSi2Ru5 | PBE | optimized geometry Values from VASP.

Structure (Quantum ESPRESSO input):
```
&SYSTEM
  ibrav = 0, nat = 20, ntyp = 4
/
ATOMIC_SPECIES
Ce 140.12 Ce.upf
Hf 178.49 Hf.upf
Si 28.09 Si.upf
Ru 101.07 Ru.upf
ATOMIC_POSITIONS crystal
Ce 0.174 0.326 0.000
Ce 0.326 0.826 0.000
Ce 0.674 0.174 0.000
Ce 0.826 0.674 0.000
Hf 0.000 0.000 0.000
Hf 0.500 0.500 0.000
Si 0.124 0.624 0.000
Si 0.376 0.124 0.000
Si 0.624 0.876 0.000
Si 0.876 0.376 0.000
Ru 0.000 0.500 0.500
Ru 0.069 0.786 0.500
Ru 0.214 0.069 0.500
Ru 0.286 0.569 0.500
Ru 0.431 0.286 0.500
Ru 0.500 0.000 0.500
Ru 0.569 0.714 0.500
Ru 0.714 0.431 0.500
Ru 0.786 0.931 0.500
Ru 0.931 0.214 0.500
CELL_PARAMETERS angstrom
10.192 0.000 0.000
0.000 10.192 0.000
0.000 0.000 3.299
```

Results
crystal system	tetragonal
ρ	9.9	g cm⁻³
symmetry	No. 127
formation energy (no corrections)	-6.8	eV per formula unit


Entry 12:
CeHfTcRu | PBE | optimized geometry Values from VASP.

Structure (Quantum ESPRESSO input):
```
&SYSTEM
  ibrav = 0, nat = 4, ntyp = 4
/
ATOMIC_SPECIES
Ce 140.12 Ce.upf
Hf 178.49 Hf.upf
Tc 98.00 Tc.upf
Ru 101.07 Ru.upf
ATOMIC_POSITIONS crystal
Ce 0.000 0.000 0.000
Hf 0.500 0.500 0.500
Tc 0.250 0.250 0.250
Ru 0.750 0.750 0.750
CELL_PARAMETERS angstrom
0.000 3.354 3.354
3.354 0.000 3.354
3.354 3.354 0.000
```

Results
crystal system	cubic
ρ	11.4	g cm⁻³
energy of formation	-1.35	eV per formula unit
symmetry	No. 216


Entry 13:
Ce2Hf3S8 | PBE | optimized geometry Values from VASP.

Structure (Quantum ESPRESSO input):
```
&SYSTEM
  ibrav = 0, nat = 13, ntyp = 3
/
ATOMIC_SPECIES
Ce 140.12 Ce.upf
Hf 178.49 Hf.upf
S 32.06 S.upf
ATOMIC_POSITIONS crystal
Ce 0.247 0.247 0.178
Ce 0.753 0.753 0.822
Hf 0.245 0.755 0.500
Hf 0.500 0.500 0.000
Hf 0.755 0.245 0.500
S 0.112 0.112 0.428
S 0.146 0.630 0.094
S 0.370 0.854 0.906
S 0.390 0.390 0.598
S 0.610 0.610 0.402
S 0.630 0.146 0.094
S 0.854 0.370 0.906
S 0.888 0.888 0.572
CELL_PARAMETERS angstrom
6.929 -3.702 0.000
6.929 3.702 0.000
-1.973 0.000 6.073
```

Results
crystal system	monoclinic
ρ	5.7	g cm⁻³
symmetry	No. 12
formation energy (no corrections)	-21.9	eV per formula unit


Entry 14:
CeHf2S | PBE | optimized geometry Values from VASP.

Structure (Quantum ESPRESSO input):
```
&SYSTEM
  ibrav = 0, nat = 4, ntyp = 3
/
ATOMIC_SPECIES
Ce 140.12 Ce.upf
Hf 178.49 Hf.upf
S 32.06 S.upf
ATOMIC_POSITIONS crystal
Ce 0.000 0.000 0.000
Hf 0.104 0.104 0.104
Hf 0.896 0.896 0.896
S 0.500 0.500 0.500
CELL_PARAMETERS angstrom
1.603 0.925 9.784
-1.603 0.925 9.784
0.000 -1.850 9.784
```

Results
crystal system	trigonal
ρ	10.1	g cm⁻³
symmetry	No. 166
formation energy (no corrections)	-1.2	eV per formula unit


Entry 15:
CeHfS3 | PBE | optimized geometry Values from VASP.

Structure (Quantum ESPRESSO input):
```
&SYSTEM
  ibrav = 0, nat = 20, ntyp = 3
/
ATOMIC_SPECIES
Ce 140.12 Ce.upf
Hf 178.49 Hf.upf
S 32.06 S.upf
ATOMIC_POSITIONS crystal
Ce 0.121 0.250 0.190
Ce 0.379 0.750 0.690
Ce 0.621 0.250 0.310
Ce 0.879 0.750 0.810
Hf 0.170 0.750 0.455
Hf 0.330 0.250 0.955
Hf 0.670 0.750 0.045
Hf 0.830 0.250 0.545
S 0.013 0.750 0.616
S 0.164 0.750 0.034
S 0.166 0.250 0.797
S 0.334 0.750 0.297
S 0.336 0.250 0.534
S 0.487 0.250 0.116
S 0.513 0.750 0.884
S 0.664 0.750 0.466
S 0.666 0.250 0.703
S 0.834 0.750 0.203
S 0.836 0.250 0.966
S 0.987 0.250 0.384
CELL_PARAMETERS angstrom
8.249 0.000 0.000
0.000 3.728 0.000
0.000 0.000 13.663
```

Results
crystal system	orthorhombic
ρ	6.6	g cm⁻³
symmetry	No. 62
formation energy (no corrections)	-8.8	eV per formula unit


Entry 16:
CeHf2S4 | PBE | optimized geometry Values from VASP.

Structure (Quantum ESPRESSO input):
```
&SYSTEM
  ibrav = 0, nat = 14, ntyp = 3
/
ATOMIC_SPECIES
Ce 140.12 Ce.upf
Hf 178.49 Hf.upf
S 32.06 S.upf
ATOMIC_POSITIONS crystal
Ce 0.114 0.886 0.750
Ce 0.886 0.114 0.250
Hf 0.357 0.643 0.559
Hf 0.357 0.643 0.941
Hf 0.643 0.357 0.059
Hf 0.643 0.357 0.441
S 0.000 0.000 0.000
S 0.000 0.000 0.500
S 0.268 0.732 0.125
S 0.268 0.732 0.375
S 0.442 0.558 0.750
S 0.558 0.442 0.250
S 0.732 0.268 0.625
S 0.732 0.268 0.875
CELL_PARAMETERS angstrom
1.851 -6.065 0.000
1.851 6.065 0.000
0.000 0.000 12.564
```

Results
crystal system	orthorhombic
ρ	7.4	g cm⁻³
symmetry	No. 63
formation energy (no corrections)	-11.2	eV per formula unit


Entry 17:
Ce2Hf2S7 | PBE | optimized geometry Values from VASP.

Structure (Quantum ESPRESSO input):
```
&SYSTEM
  ibrav = 0, nat = 11, ntyp = 3
/
ATOMIC_SPECIES
Ce 140.12 Ce.upf
Hf 178.49 Hf.upf
S 32.06 S.upf
ATOMIC_POSITIONS crystal
Ce 0.185 0.815 0.000
Ce 0.815 0.185 0.000
Hf 0.232 0.232 0.610
Hf 0.768 0.768 0.390
S 0.071 0.071 0.271
S 0.098 0.447 0.786
S 0.447 0.098 0.786
S 0.500 0.500 0.500
S 0.553 0.902 0.214
S 0.902 0.553 0.214
S 0.929 0.929 0.729
CELL_PARAMETERS angstrom
4.059 -6.054 0.000
4.059 6.054 0.000
-0.923 0.000 6.757
```

Results
crystal system	monoclinic
ρ	4.3	g cm⁻³
symmetry	No. 12
formation energy (no corrections)	-17.8	eV per formula unit


Entry 18:
CeHfS3 | PBE | optimized geometry Values from VASP.

Structure (Quantum ESPRESSO input):
```
&SYSTEM
  ibrav = 0, nat = 10, ntyp = 3
/
ATOMIC_SPECIES
Ce 140.12 Ce.upf
Hf 178.49 Hf.upf
S 32.06 S.upf
ATOMIC_POSITIONS crystal
Ce 0.000 0.000 0.000
Ce 0.500 0.000 0.500
Hf 0.287 0.537 0.750
Hf 0.713 0.463 0.250
S 0.091 0.498 0.593
S 0.233 0.983 0.250
S 0.405 0.498 0.907
S 0.595 0.502 0.093
S 0.767 0.017 0.750
S 0.909 0.502 0.407
CELL_PARAMETERS angstrom
-2.540 8.081 2.608
2.540 -8.081 2.608
2.540 8.081 -2.608
```

Results
crystal system	orthorhombic
ρ	6.4	g cm⁻³
symmetry	No. 74
formation energy (no corrections)	-8.2	eV per formula unit


Entry 19:
Ce2Hf2S7 | PBE | optimized geometry Values from VASP.

Structure (Quantum ESPRESSO input):
```
&SYSTEM
  ibrav = 0, nat = 22, ntyp = 3
/
ATOMIC_SPECIES
Ce 140.12 Ce.upf
Hf 178.49 Hf.upf
S 32.06 S.upf
ATOMIC_POSITIONS crystal
Ce 0.000 0.000 0.000
Ce 0.000 0.000 0.500
Ce 0.000 0.500 0.000
Ce 0.500 0.000 0.000
Hf 0.000 0.500 0.500
Hf 0.500 0.000 0.500
Hf 0.500 0.500 0.000
Hf 0.500 0.500 0.500
S 0.125 0.125 0.125
S 0.164 0.164 0.586
S 0.164 0.586 0.164
S 0.164 0.586 0.586
S 0.414 0.414 0.836
S 0.414 0.836 0.414
S 0.414 0.836 0.836
S 0.586 0.164 0.164
S 0.586 0.164 0.586
S 0.586 0.586 0.164
S 0.836 0.414 0.414
S 0.836 0.414 0.836
S 0.836 0.836 0.414
S 0.875 0.875 0.875
CELL_PARAMETERS angstrom
0.000 6.435 6.435
6.435 0.000 6.435
6.435 6.435 0.000
```

Results
crystal system	cubic
ρ	5.4	g cm⁻³
symmetry	No. 227
formation energy (no corrections)	-18.5	eV per formula unit


Entry 20:
Ce2HfS6 | PBE | optimized geometry Values from VASP.

Structure (Quantum ESPRESSO input):
```
&SYSTEM
  ibrav = 0, nat = 18, ntyp = 3
/
ATOMIC_SPECIES
Ce 140.12 Ce.upf
Hf 178.49 Hf.upf
S 32.06 S.upf
ATOMIC_POSITIONS crystal
Ce 0.000 0.000 0.169
Ce 0.000 0.000 0.831
Ce 0.500 0.500 0.331
Ce 0.500 0.500 0.669
Hf 0.000 0.000 0.500
Hf 0.500 0.500 0.000
S 0.190 0.190 0.345
S 0.190 0.190 0.655
S 0.205 0.205 0.000
S 0.295 0.705 0.500
S 0.310 0.690 0.155
S 0.310 0.690 0.845
S 0.690 0.310 0.155
S 0.690 0.310 0.845
S 0.705 0.295 0.500
S 0.795 0.795 0.000
S 0.810 0.810 0.345
S 0.810 0.810 0.655
CELL_PARAMETERS angstrom
6.255 0.000 0.000
0.000 6.255 0.000
0.000 0.000 12.128
```

Results
crystal system	tetragonal
ρ	4.6	g cm⁻³
symmetry	No. 136
formation energy (no corrections)	-14.1	eV per formula unit


Entry 21:
CeHfS4 | PBE | optimized geometry Values from VASP.

Structure (Quantum ESPRESSO input):
```
&SYSTEM
  ibrav = 0, nat = 6, ntyp = 3
/
ATOMIC_SPECIES
Ce 140.12 Ce.upf
Hf 178.49 Hf.upf
S 32.06 S.upf
ATOMIC_POSITIONS crystal
Ce 0.000 0.000 0.000
Hf 0.500 0.500 0.500
S 0.107 0.107 0.384
S 0.390 0.390 0.153
S 0.610 0.610 0.847
S 0.893 0.893 0.616
CELL_PARAMETERS angstrom
6.530 -1.934 0.000
6.530 1.934 0.000
-1.158 0.000 6.668
```

Results
crystal system	monoclinic
ρ	4.4	g cm⁻³
symmetry	No. 12
formation energy (no corrections)	-9.7	eV per formula unit


Entry 22:
CeHfS4 | PBE | optimized geometry Values from VASP.

Structure (Quantum ESPRESSO input):
```
&SYSTEM
  ibrav = 0, nat = 12, ntyp = 3
/
ATOMIC_SPECIES
Ce 140.12 Ce.upf
Hf 178.49 Hf.upf
S 32.06 S.upf
ATOMIC_POSITIONS crystal
Ce 0.173 0.827 0.500
Ce 0.827 0.173 0.000
Hf 0.409 0.591 0.600
Hf 0.591 0.409 0.100
S 0.098 0.902 0.119
S 0.283 0.717 0.808
S 0.323 0.677 0.291
S 0.455 0.545 0.967
S 0.545 0.455 0.467
S 0.677 0.323 0.791
S 0.717 0.283 0.308
S 0.902 0.098 0.619
CELL_PARAMETERS angstrom
2.461 -8.580 0.000
2.461 8.580 0.000
0.000 0.000 6.593
```

Results
crystal system	orthorhombic
ρ	5.3	g cm⁻³
symmetry	No. 36
formation energy (no corrections)	-9.0	eV per formula unit